# 1
DFT (PBE) results for YTlMo after structural relaxation.

Cell: 4.953 4.953 4.953 Å, 60.00 60.00 60.00°
Fractional positions:
Mo (0.250, 0.250, 0.250)
Tl (0.750, 0.750, 0.750)
Y (0.000, 0.000, 0.000)

# 2
DFT (PBE) results for YTlMo after structural relaxation.

Cell: 4.810 4.810 4.810 Å, 60.00 60.00 60.00°
Fractional positions:
Mo (0.250, 0.250, 0.250)
Tl (0.000, 0.000, 0.000)
Y (0.750, 0.750, 0.750)

# 3
DFT (PBE) results for TmUMo after structural relaxation.

Results
For the energy of formation from the pure elements, the calculation gives 0.742 eV per atom.

Cell: 4.712 4.712 4.712 Å, 60.00 60.00 60.00°
Fractional positions:
Mo (0.000, 0.000, 0.000)
Tm (0.250, 0.250, 0.250)
U (0.750, 0.750, 0.750)

# 4
DFT (PBE) results for YTmMo after structural relaxation.

Results
For the energy of formation from the pure elements, the calculation gives 1.215 eV per atom.

Cell: 4.887 4.887 4.887 Å, 60.00 60.00 60.00°
Fractional positions:
Mo (0.250, 0.250, 0.250)
Tm (0.000, 0.000, 0.000)
Y (0.750, 0.750, 0.750)

no.,calculated total energy (eV/atom),offset from the most stable computed form (meV per atom)
1,-5.40,360.1
2,-5.76,0.0
3,-8.13,0.0
4,-6.05,0.0